Compound: InCoSeO2
Source: Alexandria
Functional: PBE with a Hubbard U
Structure: optimized geometry

Results
* space-group type: No. 123
* E_tot: -4.172 eV/atom
* volume: 25.48 A^3/atom

```
5
Lattice="-2.884 -2.388 -1.100 1.962 -5.237 6.223 -2.465 1.887 2.365" Properties=species:S:1:pos:R:3 pbc="T T T"
In 0.000 0.000 0.000
O -1.442 -1.194 -0.550
O -1.232 0.944 1.182
Co 0.981 -2.618 3.112
Se -1.694 -2.869 3.744
```